Below is a relaxed SrH2Pd crystal, with properties calculated at the PBE level.

```
SrH2Pd
1.0
4.2509 0.0000 0.0000
2.1254 3.6814 0.0000
2.1254 1.2271 4.4191
Sr H Pd
1 2 1
Cartesian
4.2509 2.4542 2.2095
2.1254 1.2271 2.7514
6.3763 3.6814 1.6677
0.0000 0.0000 0.0000
```

=====

Below is a relaxed SrH4Pd2 crystal, with properties calculated at the PBE level.

```
SrH4Pd2
1.0
5.3452 -0.7939 -0.0817
-1.1771 5.2738 0.0936
-1.9711 -2.3270 7.2639
H Sr Pd
8 2 4
Cartesian
2.9261 0.6640 5.2990
0.2573 1.0561 5.6093
3.8110 -0.1705 1.9081
1.0070 1.9635 1.6940
2.5785 -1.5792 5.2580
-0.0911 -1.1871 5.5628
1.5983 -0.6786 1.9111
3.2200 2.4724 1.6857
-0.5295 2.5939 3.6816
0.0013 0.0034 0.0001
2.4094 0.8970 1.8006
-1.2546 0.1358 5.4722
1.4178 -0.2614 5.4329
1.8207 3.5337 1.8459
```

=====

Below is a relaxed Sr4HPd crystal, with properties calculated at the PBE level.

```
Sr4HPd
1.0
-1.2827 -0.3284 -6.4708
-2.0830 -5.9469 2.2712
-9.0223 3.7702 1.5971
Pd Sr H
2 8 2
Cartesian
-8.1135 0.3494 -0.5599
-4.2745 -2.8544 -2.0426
-8.3634 1.0649 -3.6607
-1.3181 -1.6132 -1.0774
-3.4943 -0.2264 -3.8389
-5.0776 -0.0422 -0.4119
-11.0699 -0.8918 -1.5252
-4.0246 -3.5699 1.0581
-8.8938 -2.2786 1.2364
-7.3105 -2.4628 -2.1907
-2.8982 0.2169 -1.5180
-9.4898 -2.7219 -1.0846
```

=====

Below is a relaxed Sr6H2Pd crystal, with properties calculated at the PBE level.

```
Sr6H2Pd
1.0
6.8290 0.0000 0.0000
0.0000 7.2651 -0.3736
0.0000 0.6466 12.3752
Pd Sr H
2 12 4
Cartesian
0.0000 0.3233 6.1876
3.4145 3.6326 -0.1868
5.1139 6.2235 3.7565
1.7208 1.4667 4.0040
5.1353 2.4892 1.9968
1.7151 1.6882 8.2451
1.6937 5.4225 10.0048
5.1296 2.9143 10.1309
4.9809 6.8323 12.0566
1.8482 1.0794 -0.0550
5.1083 6.4451 7.9976
5.2627 2.8764 6.0558
1.5664 5.0353 5.9458
1.6994 4.9974 1.8707
3.4190 7.3763 1.7745
0.0045 3.8447 3.8527
6.8245 4.0670 8.1489
3.4100 0.5354 10.2271
```

=====

Below is a relaxed Sr6HPd crystal, with properties calculated at the PBE level.

```
Sr6HPd
1.0
-5.4754 -4.8322 0.3610
-1.5120 -3.3321 6.3229
-6.7366 2.3950 3.8636
Sr Pd H
6 1 1
Cartesian
-8.4262 -2.6762 7.7312
-7.5335 -5.7171 5.0138
-9.2520 -2.1144 3.7603
-5.2978 -3.0931 2.8163
-4.4721 -3.6549 6.7872
-6.1905 -0.0522 5.5337
0.0000 0.0000 0.0000
-6.8620 -2.8847 5.2737
```

=====

Below is a relaxed SrH11Pd5 crystal, with properties calculated at the PBE level.

```
SrH11Pd5
1.0
-3.7800 3.2883 -2.2567
4.5817 -1.4648 -3.2896
-1.0571 -6.1331 -0.6188
H Pd Sr
11 5 1
Cartesian
2.3733 -2.7258 -3.5968
0.4009 0.5158 -3.5340
-2.3603 -1.9383 -2.2154
-1.7615 -3.4615 -4.5891
0.6630 -1.2380 -2.5223
0.1147 -2.6474 -0.8047
1.5630 -4.6242 -2.8684
-0.7823 -3.3827 -2.5815
-1.6454 0.0103 -3.0272
-0.0810 -1.9836 -5.1268
-2.7178 -4.5570 -1.7003
-2.8959 -0.3410 -1.7421
2.8971 -4.4005 -4.2216
-0.7508 1.4946 -2.6315
1.8269 -0.0072 -2.7146
1.0416 -2.9296 -2.3592
-4.6384 -2.9504 -2.8784
```

=====

Below is a relaxed SrH3Pd crystal, with properties calculated at the PBE level.

```
SrH3Pd
1.0
-8.9815 -10.3336 7.7215
-1.4427 -6.0417 2.7927
4.2546 5.2921 -0.5253
Sr Pd H
2 2 6
Cartesian
0.9701 1.1827 2.1891
-7.1397 -12.2660 7.7998
2.8700 3.5533 0.6169
-9.0396 -14.6366 9.3721
-3.8370 -4.9191 6.1331
-2.1951 -3.2777 4.6396
0.1354 -2.5251 1.9983
-2.3326 -6.1641 3.8559
-6.3051 -8.5582 7.9906
-3.9746 -7.8056 5.3494
```

=====

Below is a relaxed SrH3Pd crystal, with properties calculated at the PBE level.

```
SrH3Pd
1.0
5.1990 0.0000 -0.0952
0.0000 5.2402 0.0000
-2.2890 0.0000 4.9745
H Sr Pd
6 2 2
Cartesian
2.1676 1.3101 3.5456
3.0362 0.1009 0.9913
-0.1262 2.7210 3.8880
-0.1262 5.1393 3.8880
3.0362 2.5192 0.9913
0.7424 3.9302 1.3337
2.4956 3.9302 3.4298
0.4144 1.3101 1.4494
0.7235 1.3101 4.6139
2.1865 3.9302 0.2654
```

=====

Below is a relaxed Sr3H12Pd5 crystal, with properties calculated at the PBE level.

```
Sr3H12Pd5
1.0
-9.0039 5.2766 -2.0035
-2.2640 -9.0964 5.0056
6.3012 5.9526 6.1472
Pd H Sr
20 48 12
Cartesian
0.8383 1.6284 5.2182
0.0000 0.0000 0.0000
-1.1320 -4.5482 2.5028
-5.6339 -1.9099 1.5011
-3.1548 0.4487 1.2685
-2.4833 1.0664 4.5747
-3.4443 -5.8961 4.6475
-4.5675 3.3962 5.9858
-4.5019 2.6383 -1.0018
2.0186 -1.5719 5.5764
-1.8119 1.6841 7.8808
-0.3992 -1.2634 3.1635
-1.3513 5.6146 2.0718
-5.8050 0.5044 3.9311
3.1506 2.9763 3.0736
-1.5223 8.0289 4.5019
-4.5061 6.0633 3.3403
1.0665 5.3061 4.4848
-6.0331 -3.1733 4.6645
-0.4605 -3.9305 5.8090
-6.0075 2.2150 3.3348
-5.7311 4.7929 2.8839
2.9031 -1.3948 7.1314
-9.2452 0.9023 2.0511
-4.9569 2.2588 7.3561
1.3273 -0.5644 10.0215
4.2785 1.2305 7.0982
1.8959 1.8845 3.7558
-6.8625 0.2483 5.3935
1.3246 2.8025 6.5250
-3.7544 4.8851 6.6529
-0.9082 1.9086 4.7776
-5.4268 -2.9371 2.9618
-4.2582 4.1819 -0.1132
-4.0558 -1.0740 1.7071
-2.6292 9.4330 4.1465
-2.4969 0.9337 6.3674
-4.7481 7.5355 2.2930
-6.2940 2.6972 -0.8722
-4.3010 1.6144 0.4621
2.5001 4.2167 4.2005
-9.4752 -3.8751 2.8793
-7.8698 3.5276 2.0179
-2.6036 -4.7388 3.5176
1.0409 -0.0823 5.8145
-1.5983 4.0679 1.1895
-7.4667 -2.0839 4.9489
-0.6657 0.5184 8.6872
-3.4579 2.5591 4.8065
-0.2499 4.8906 3.2943
-1.2122 -2.7523 2.4964
-1.5088 -0.4263 4.3428
-0.2186 -5.4027 6.8563
-2.8200 5.4176 3.0897
0.7645 -2.6601 6.2654
-4.0585 0.2241 4.3717
-3.3684 -1.9351 7.9598
-2.3630 6.8716 5.6318
4.5086 6.0079 6.2700
-2.4698 1.1991 2.7819
-4.7167 -2.7578 5.8550
-2.3375 -7.3002 5.0028
-6.2913 -0.6698 2.6243
0.4602 5.0699 6.1875
-0.9109 3.2068 7.4422
-0.7085 -2.0491 9.2625
-0.0098 -0.1260 1.7932
-2.1467 -3.2848 6.0597
-8.7887 -1.4612 2.7695
-6.8143 1.2904 1.1429
-6.5861 4.9681 0.4094
1.6194 -2.8353 8.7399
3.8221 3.5940 6.3798
-3.2161 -2.2184 3.9140
-1.7505 4.3512 5.2353
-1.1362 -1.1232 6.8449
-0.1710 2.4143 2.4300
-3.8305 3.2560 2.3044
-4.7956 -0.2815 6.7193
1.8476 0.8424 8.0064
```

=====

Below is a relaxed SrHPd crystal, with properties calculated at the PBE level.

```
SrHPd
1.0
3.8026 0.0003 0.0019
-0.0002 4.4238 -0.0001
0.0040 0.0001 6.7478
H Pd Sr
2 2 2
Cartesian
3.0870 0.9564 0.0445
3.0897 3.1683 5.3085
3.0875 0.9569 1.7703
3.0874 3.1689 3.5827
1.1856 0.9567 4.5142
1.1865 3.1685 0.8377
```

=====

Below is a relaxed SrH8Pd5 crystal, with properties calculated at the PBE level.

```
SrH8Pd5
1.0
6.5137 1.2114 -1.5098
3.2255 7.6337 -2.7642
-2.4509 -1.6391 4.4005
Pd H Sr
5 8 1
Cartesian
6.5216 1.2567 -1.5133
-0.1881 -0.1571 3.1533
4.5717 2.5854 0.0767
7.5993 7.3890 -2.9042
2.8356 4.7127 0.2280
-0.2214 0.8726 1.5670
2.8471 3.0532 -0.4018
1.6357 -0.4492 3.1929
4.6112 4.3484 0.4091
4.5379 1.1577 2.1626
5.7950 7.6756 -2.9022
2.7992 6.1720 -1.9916
7.5683 6.2447 -1.3782
1.7493 2.3696 1.8147
```

=====

Below is a relaxed SrH3Pd crystal, with properties calculated at the PBE level.

```
SrH3Pd
1.0
1.4670 2.3253 5.3589
4.7840 -1.0806 3.4962
4.5686 3.6207 1.5152
H Pd Sr
6 2 2
Cartesian
6.9827 1.5459 6.1557
5.3466 3.2261 7.0744
3.8369 3.3196 4.2146
6.8766 3.8648 5.1784
5.4730 1.6394 3.2959
3.9429 1.0006 5.1919
3.5103 1.5786 3.3646
7.3092 3.2869 7.0057
1.1664 0.5245 1.1179
9.6532 4.3409 9.2523
```

=====

no.,volume (Å³ per atom),raw total energy (eV per atom)
1,17.29,-3.888
2,14.16,-3.983
3,35.57,-2.869
4,34.20,-2.717
5,40.20,-2.577
6,9.44,-3.935
7,12.88,-3.760
8,13.44,-3.831
9,11.55,-3.839
10,18.92,-3.878
11,11.43,-4.096
12,11.86,-3.744